Computed, not measured: a relaxed HfTi4Si2 crystal at the PBE level of DFT.

a = 8.2260 Å, b = 8.2260 Å, c = 3.8171 Å
α = 90.00°, β = 90.00°, γ = 153.00°
Positions (direct):
Hf1 0.0000 0.0000 0.0000
Ti1 0.1796 0.8204 0.5000
Ti2 0.3188 0.6812 0.0000
Ti3 0.6812 0.3188 0.0000
Ti4 0.8204 0.1796 0.5000
Si1 0.4287 0.5713 0.5000
Si2 0.5713 0.4287 0.5000

---

Computed, not measured: a relaxed HfTi2Si2 crystal at the PBE level of DFT.

a = 7.8793 Å, b = 7.8793 Å, c = 7.8793 Å
α = 154.88°, β = 154.88°, γ = 35.82°
Positions (direct):
Hf1 0.0000 0.0000 0.0000
Ti1 0.3854 0.3854 0.0000
Ti2 0.6146 0.6146 0.0000
Si1 0.2500 0.7500 0.5000
Si2 0.7500 0.2500 0.5000

* energy relative to the lowest polymorph listed for this composition: 694 meV per atom

---

Computed, not measured: a relaxed HfTiSi3 crystal at the PBE level of DFT.

a = 4.5917 Å, b = 4.5917 Å, c = 4.5917 Å
α = 90.00°, β = 90.00°, γ = 90.00°
Positions (direct):
Hf1 0.0000 0.0000 0.0000
Ti1 0.5000 0.5000 0.5000
Si1 0.0000 0.5000 0.5000
Si2 0.5000 0.0000 0.5000
Si3 0.5000 0.5000 0.0000

---

Computed, not measured: a relaxed HfTi2Si2 crystal at the PBE level of DFT.

a = 4.6998 Å, b = 3.2706 Å, c = 11.0724 Å
α = 90.00°, β = 96.41°, γ = 90.00°
Positions (direct):
Hf1 0.1972 0.2500 0.2573
Hf2 0.8028 0.7500 0.7427
Ti1 0.2457 0.7500 0.4799
Ti2 0.3463 0.2500 0.9001
Ti3 0.6537 0.7500 0.0999
Ti4 0.7543 0.2500 0.5201
Si1 0.1478 0.7500 0.0506
Si2 0.2877 0.2500 0.6658
Si3 0.7123 0.7500 0.3342
Si4 0.8522 0.2500 0.9494

* energy relative to the lowest polymorph listed for this composition: 320 meV per atom

---

Computed, not measured: a relaxed Hf3Ti4Si4 crystal at the PBE level of DFT.

a = 8.2387 Å, b = 8.2387 Å, c = 8.2387 Å
α = 155.40°, β = 124.59°, γ = 61.51°
Positions (direct):
Hf1 0.0000 0.0000 0.0000
Hf2 0.3848 0.8848 0.5000
Hf3 0.6152 0.1152 0.5000
Ti1 0.0277 0.3288 0.6989
Ti2 0.3701 0.6712 0.6989
Ti3 0.6299 0.3288 0.3011
Ti4 0.9723 0.6712 0.3011
Si1 0.2383 0.2383 0.0000
Si2 0.3013 0.5000 0.8013
Si3 0.6987 0.5000 0.1987
Si4 0.7617 0.7617 0.0000

---

Computed, not measured: a relaxed HfTl2Si crystal at the PBE level of DFT.

a = 5.1120 Å, b = 5.1120 Å, c = 5.1120 Å
α = 60.00°, β = 60.00°, γ = 60.00°
Positions (direct):
Hf1 0.0000 0.0000 0.0000
Tl1 0.2500 0.2500 0.2500
Tl2 0.7500 0.7500 0.7500
Si1 0.5000 0.5000 0.5000

* energy relative to the lowest polymorph listed for this composition: 202 meV per atom

---

| no. | total DFT energy (no corrections) (eV/cell) | formation energy (no corrections) (eV/atom) |
| --- | --- | --- |
| 1 | -55.31 | -0.4189 |
| 2 | -36.87 | -0.0570 |
| 3 | -31.45 | 0.5336 |
| 4 | -77.49 | -0.4313 |
| 5 | -89.79 | -0.6055 |
| 6 | -17.47 | 0.6605 |